Entry 1:
! Tb2ScGa (PBE, relaxed); values from VASP
&SYSTEM
  ibrav = 0, nat = 4, ntyp = 3
/
ATOMIC_SPECIES
Sc 44.96 Sc.upf
Tb 158.93 Tb.upf
Ga 69.72 Ga.upf
CELL_PARAMETERS angstrom
-3.139 0.247 1.490
0.827 -2.596 2.172
3.123 5.706 5.631
ATOMIC_POSITIONS crystal
Sc 0.500 0.500 0.500
Tb 0.000 0.000 0.221
Tb 0.000 0.000 0.779
Ga 0.500 0.500 0.000
! DOS at the Fermi energy = 5.765 states/eV/f.u.
! SG = P4/mmm
! polymorph energy (0 for the lowest one) = 0.004 eV per atom
! E_form = -0.250 eV per atom



Entry 2:
! AlZn2Os (PBE, relaxed); values from VASP
&SYSTEM
  ibrav = 0, nat = 4, ntyp = 3
/
ATOMIC_SPECIES
Zn 65.41 Zn.upf
Os 190.23 Os.upf
Al 26.98 Al.upf
CELL_PARAMETERS angstrom
-0.544 0.163 -3.188
-0.997 -3.081 0.013
-5.139 1.667 0.962
ATOMIC_POSITIONS crystal
Zn 0.000 0.000 0.001
Zn 0.500 0.500 0.241
Os 0.500 0.500 0.736
Al 0.000 0.000 0.522
! DOS at the Fermi energy = 1.858 states/eV/f.u.
! SG = P4mm
! E_form = -0.083 eV per atom



Entry 3:
! YGeSb2Ru (PBE, relaxed); values from VASP
&SYSTEM
  ibrav = 0, nat = 5, ntyp = 4
/
ATOMIC_SPECIES
Sb 121.76 Sb.upf
Ge 72.64 Ge.upf
Ru 101.07 Ru.upf
Y 88.91 Y.upf
CELL_PARAMETERS angstrom
5.214 0.000 0.000
0.000 5.194 0.000
0.000 0.000 5.214
ATOMIC_POSITIONS crystal
Sb 0.000 0.000 0.500
Sb 0.500 0.000 0.000
Ge 0.000 0.000 0.000
Ru 0.500 0.500 0.500
Y 0.000 0.500 0.000
! DOS at the Fermi energy = 5.774 states/eV/f.u.
! SG = P4/mmm
! formation energy without anion corrections = 4.73 eV per formula unit



Entry 4:
! CaSbAs4 (PBE, relaxed); values from VASP
&SYSTEM
  ibrav = 0, nat = 6, ntyp = 3
/
ATOMIC_SPECIES
As 74.92 As.upf
Sb 121.76 Sb.upf
Ca 40.08 Ca.upf
CELL_PARAMETERS angstrom
0.000 4.064 4.064
4.064 0.000 4.064
4.064 4.064 0.000
ATOMIC_POSITIONS crystal
As 0.375 0.375 0.876
As 0.876 0.375 0.375
As 0.375 0.375 0.375
As 0.375 0.876 0.375
Sb 0.000 0.000 0.000
Ca 0.750 0.750 0.750
! DOS at the Fermi energy = 3.474 states/eV/f.u.
! SG = F-43m
! formation energy without anion corrections = -0.20 eV per formula unit



Entry 5:
! Sr2PmS4 (PBE, relaxed); values from VASP
&SYSTEM
  ibrav = 0, nat = 14, ntyp = 3
/
ATOMIC_SPECIES
Sr 87.62 Sr.upf
S 32.06 S.upf
Pm 145.00 Pm.upf
CELL_PARAMETERS angstrom
-7.350 -3.606 -2.110
0.022 -6.942 -5.150
-1.902 -7.844 3.093
ATOMIC_POSITIONS crystal
Sr 0.122 0.128 0.628
Sr 0.500 0.500 0.500
Sr 0.878 0.872 0.372
Sr 0.500 0.000 0.000
S 0.236 0.275 0.775
S 0.764 0.725 0.225
S 0.285 0.725 0.225
S 0.258 0.268 0.215
S 0.258 0.715 0.768
S 0.742 0.732 0.785
S 0.715 0.275 0.775
S 0.742 0.285 0.232
Pm 0.500 0.500 0.000
Pm 0.000 0.500 0.000
! DOS at the Fermi energy = 9.695 states/eV/f.u.
! SG = Imma
! formation energy without anion corrections = -12.02 eV per formula unit



Entry 6:
! DyErHf2 (PBE, relaxed); values from VASP
&SYSTEM
  ibrav = 0, nat = 4, ntyp = 3
/
ATOMIC_SPECIES
Dy 162.50 Dy.upf
Hf 178.49 Hf.upf
Er 167.26 Er.upf
CELL_PARAMETERS angstrom
4.791 0.000 0.000
0.000 4.636 0.000
0.000 0.000 4.636
ATOMIC_POSITIONS crystal
Dy 0.500 0.000 0.000
Hf 0.000 0.000 0.500
Hf 0.000 0.500 0.000
Er 0.500 0.500 0.500
! DOS at the Fermi energy = 4.937 states/eV/f.u.
! SG = P4/mmm
! polymorph energy (0 for the lowest one) = 0.002 eV per atom
! E_form = 0.183 eV per atom



Entry 7:
! PaFe2C (PBE, relaxed); values from VASP
&SYSTEM
  ibrav = 0, nat = 4, ntyp = 3
/
ATOMIC_SPECIES
Pa 231.04 Pa.upf
C 12.01 C.upf
Fe 55.84 Fe.upf
CELL_PARAMETERS angstrom
4.293 0.000 0.000
2.146 3.718 0.000
2.146 1.239 4.290
ATOMIC_POSITIONS crystal
Pa 0.500 0.500 0.500
C 0.000 0.000 0.000
Fe 0.866 0.866 0.402
Fe 0.134 0.134 0.598
! DOS at the Fermi energy = 3.303 states/eV/f.u.
! SG = R-3m
! E_form = 0.462 eV per atom



Entry 8:
! BaO (PBE, relaxed); values from VASP
&SYSTEM
  ibrav = 0, nat = 16, ntyp = 2
/
ATOMIC_SPECIES
Ba 137.33 Ba.upf
O 16.00 O.upf
CELL_PARAMETERS angstrom
10.907 0.000 0.000
0.000 10.907 0.000
0.000 0.000 4.401
ATOMIC_POSITIONS crystal
Ba 0.886 0.710 0.500
Ba 0.210 0.614 0.000
Ba 0.710 0.114 0.500
Ba 0.790 0.386 0.000
Ba 0.386 0.210 0.000
Ba 0.290 0.886 0.500
Ba 0.614 0.790 0.000
Ba 0.114 0.290 0.500
O 0.707 0.875 0.500
O 0.625 0.207 0.000
O 0.207 0.375 0.000
O 0.125 0.707 0.500
O 0.793 0.625 0.000
O 0.375 0.793 0.000
O 0.875 0.293 0.500
O 0.293 0.125 0.500
! SG = I4/m
! formation energy without anion corrections = -4.73 eV per formula unit



Entry 9:
! LiCePm2 (PBE, relaxed); values from VASP
&SYSTEM
  ibrav = 0, nat = 4, ntyp = 3
/
ATOMIC_SPECIES
Ce 140.12 Ce.upf
Li 6.94 Li.upf
Pm 145.00 Pm.upf
CELL_PARAMETERS angstrom
3.542 0.000 0.000
0.000 5.732 0.000
0.000 0.000 5.732
ATOMIC_POSITIONS crystal
Ce 0.500 0.000 0.000
Li 0.500 0.500 0.500
Pm 0.000 0.000 0.500
Pm 0.000 0.500 0.000
! DOS at the Fermi energy = 7.845 states/eV/f.u.
! SG = P4/mmm
! polymorph energy (0 for the lowest one) = 0.075 eV per atom
! E_form = 0.162 eV per atom



Entry 10:
! Dy2Ga2SbRh5 (PBE, relaxed); values from VASP
&SYSTEM
  ibrav = 0, nat = 20, ntyp = 4
/
ATOMIC_SPECIES
Rh 102.91 Rh.upf
Ga 69.72 Ga.upf
Sb 121.76 Sb.upf
Dy 162.50 Dy.upf
CELL_PARAMETERS angstrom
3.623 0.000 0.000
0.000 9.800 0.000
0.000 0.000 9.800
ATOMIC_POSITIONS crystal
Rh 0.500 0.208 0.069
Rh 0.500 0.000 0.500
Rh 0.500 0.292 0.569
Rh 0.500 0.708 0.431
Rh 0.500 0.569 0.708
Rh 0.500 0.931 0.208
Rh 0.500 0.431 0.292
Rh 0.500 0.500 0.000
Rh 0.500 0.792 0.931
Rh 0.500 0.069 0.792
Ga 0.000 0.123 0.623
Ga 0.000 0.877 0.377
Ga 0.000 0.377 0.123
Ga 0.000 0.623 0.877
Sb 0.000 0.500 0.500
Sb 0.000 0.000 0.000
Dy 0.000 0.326 0.826
Dy 0.000 0.826 0.674
Dy 0.000 0.174 0.326
Dy 0.000 0.674 0.174
! DOS at the Fermi energy = 2.652 states/eV/f.u.
! SG = P4/mbm
! formation energy without anion corrections = -8.25 eV per formula unit



Entry 11:
! Y3GaRu3 (PBE, relaxed); values from VASP
&SYSTEM
  ibrav = 0, nat = 14, ntyp = 3
/
ATOMIC_SPECIES
Ru 101.07 Ru.upf
Y 88.91 Y.upf
Ga 69.72 Ga.upf
CELL_PARAMETERS angstrom
-0.384 -3.685 -1.994
1.927 -0.625 5.224
-12.589 -1.129 4.510
ATOMIC_POSITIONS crystal
Ru 0.784 0.569 0.750
Ru 0.914 0.829 0.906
Ru 0.914 0.829 0.594
Ru 0.086 0.171 0.094
Ru 0.086 0.171 0.406
Ru 0.216 0.431 0.250
Y 0.202 0.405 0.895
Y 0.202 0.405 0.605
Y 0.509 0.018 0.250
Y 0.798 0.595 0.105
Y 0.798 0.595 0.395
Y 0.491 0.982 0.750
Ga 0.500 0.000 0.500
Ga 0.500 0.000 0.000
! DOS at the Fermi energy = 4.830 states/eV/f.u.
! SG = Cmcm
! E_form = -0.435 eV per atom



Entry 12:
! Rb2CaSbO4 (PBE, relaxed); values from VASP
&SYSTEM
  ibrav = 0, nat = 8, ntyp = 4
/
ATOMIC_SPECIES
O 16.00 O.upf
Ca 40.08 Ca.upf
Rb 85.47 Rb.upf
Sb 121.76 Sb.upf
CELL_PARAMETERS angstrom
6.302 -0.284 -0.435
-2.942 5.581 0.435
-2.942 -1.847 5.284
ATOMIC_POSITIONS crystal
O 0.373 0.848 0.763
O 0.085 0.237 0.610
O 0.627 0.390 0.475
O 0.915 0.525 0.152
Ca 0.500 0.250 0.750
Rb 0.500 0.750 0.250
Rb 0.000 0.000 0.000
Sb 0.000 0.500 0.500
! DOS at the Fermi energy = 3.235 states/eV/f.u.
! SG = I-4
! formation energy without anion corrections = -14.01 eV per formula unit